[1]
Computed, not measured: crystalline Pm4PrSm2Ho at its relaxed geometry at the GGA-PBE level of DFT.

**Space-group type**: No. 15
**Crystal system**: monoclinic
**DFT formation energy**: 3.1 eV per formula unit
**Magnetization**: 0.0 μB/cell
**V**: 554.3 Å³/cell
**DOS(E_F)**: 39.5 states/eV per cell

Cell: 9.614 9.614 11.944 Å, 128.33 128.33 88.36°
Sites, in units of the cell vectors:
Pm  0.247  0.754  0.001
Pm  0.746  0.253  0.499
Pm  0.254  0.747  0.501
Pm  0.753  0.246  0.999
Pm  0.722  0.724  0.971
Pm  0.776  0.778  0.529
Pm  0.224  0.222  0.471
Pm  0.278  0.276  0.029
Pr  0.000  0.500  0.000
Pr  0.000  0.500  0.500
Sm  0.500  0.000  0.000
Sm  0.500  0.000  0.500
Sm  0.000  0.000  0.500
Sm  0.500  0.500  0.000
Ho  0.500  0.500  0.500
Ho  0.000  0.000  0.000

***

[2]
Computed, not measured: crystalline AcCd3Hg3 at its relaxed geometry at the GGA-PBE level of DFT.

**Space-group type**: No. 223
**Crystal system**: cubic
**DFT formation energy**: 1.3 eV per formula unit
**Magnetization**: 0.0 μB/cell
**Offset from the most stable computed form**: 437 meV/atom
**V**: 466.7 Å³/cell
**DOS(E_F)**: 12.5 states/eV per cell

Cell: 7.757 7.757 7.757 Å, 90.00 90.00 90.00°
Sites, in units of the cell vectors:
Ac  0.500  0.500  0.500
Ac  0.000  0.000  0.000
Hg  0.000  0.250  0.500
Hg  0.000  0.750  0.500
Hg  0.500  0.000  0.750
Hg  0.750  0.500  0.000
Hg  0.500  0.000  0.250
Hg  0.250  0.500  0.000
Cd  0.250  0.000  0.500
Cd  0.000  0.500  0.250
Cd  0.500  0.750  0.000
Cd  0.750  0.000  0.500
Cd  0.000  0.500  0.750
Cd  0.500  0.250  0.000

***

[3]
Computed, not measured: crystalline PrNdTm at its relaxed geometry at the GGA-PBE level of DFT.

**Space-group type**: No. 107
**Crystal system**: tetragonal
**DFT formation energy**: 0.1 eV per formula unit
**Magnetization**: 0.0 μB/cell
**Offset from the most stable computed form**: 0 meV/atom
**V**: 101.7 Å³/cell
**DOS(E_F)**: 4.9 states/eV per cell

Cell: 3.642 3.642 8.090 Å, 103.01 103.01 90.00°
Sites, in units of the cell vectors:
Pr  0.002  0.002  0.005
Tm  0.667  0.667  0.334
Nd  0.330  0.330  0.661

***

[4]
Computed, not measured: crystalline Cs2Na12Cd5 at its relaxed geometry at the GGA-PBE level of DFT.

**Space-group type**: No. 166
**Crystal system**: trigonal
**DFT formation energy**: -0.3 eV per formula unit
**Magnetization**: 0.0 μB/cell
**V**: 691.9 Å³/cell
**DOS(E_F)**: 11.0 states/eV per cell

Cell: 8.894 8.894 8.894 Å, 83.72 83.72 83.72°
Sites, in units of the cell vectors:
Cs  0.655  0.655  0.655
Cs  0.345  0.345  0.345
Na  0.279  0.721  0.000
Na  0.721  0.000  0.279
Na  0.000  0.279  0.721
Na  0.721  0.279  0.000
Na  0.279  0.000  0.721
Na  0.000  0.721  0.279
Na  0.335  0.335  0.887
Na  0.335  0.887  0.335
Na  0.887  0.335  0.335
Na  0.665  0.113  0.665
Na  0.665  0.665  0.113
Na  0.113  0.665  0.665
Cd  0.000  0.000  0.500
Cd  0.000  0.500  0.000
Cd  0.500  0.000  0.000
Cd  0.906  0.906  0.906
Cd  0.094  0.094  0.094

***

[5]
Computed, not measured: crystalline RbHg2SeN at its relaxed geometry at the GGA-PBE level of DFT.

**Space-group type**: No. 123
**Crystal system**: tetragonal
**Magnetization**: 4.0 μB/cell
**V**: 385.7 Å³/cell
**E_form (uncorrected)**: 1.08 eV per atom
**DOS(E_F)**: 18.4 states/eV per cell

Cell: 7.692 6.519 7.692 Å, 90.00 90.00 90.00°
Sites, in units of the cell vectors:
Se  0.000  0.500  0.000
Hg  0.000  0.000  0.500
Hg  0.500  0.000  0.000
Rb  0.000  0.000  0.000
N  0.500  0.500  0.500

***

[6]
Computed, not measured: crystalline K3VRh2Se6 at its relaxed geometry at the GGA-PBE level of DFT.

**Space-group type**: No. 12
**Crystal system**: monoclinic
**Magnetization**: 2.0 μB/cell
**V**: 284.4 Å³/cell
**E_form (uncorrected)**: -0.75 eV per atom
**DOS(E_F)**: 8.8 states/eV per cell

Cell: 6.727 6.727 7.596 Å, 98.49 98.49 120.00°
Sites, in units of the cell vectors:
K  0.166  0.834  0.500
K  0.834  0.166  0.500
K  0.500  0.500  0.500
V  0.000  0.000  0.000
Rh  0.333  0.667  0.000
Rh  0.667  0.333  0.000
Se  0.942  0.605  0.826
Se  0.720  0.720  0.174
Se  0.058  0.395  0.174
Se  0.605  0.942  0.826
Se  0.280  0.280  0.826
Se  0.395  0.058  0.174

***

[7]
Computed, not measured: crystalline Mn2Cu2Si at its relaxed geometry at the GGA-PBE level of DFT.

**Space-group type**: No. 139
**Crystal system**: tetragonal
**Magnetization**: 6.2 μB/cell
**Offset from the most stable computed form**: 143 meV/atom
**V**: 70.2 Å³/cell
**E_form (uncorrected)**: 0.37 eV per atom
**DOS(E_F)**: 4.5 states/eV per cell

Cell: 3.231 3.231 7.105 Å, 76.86 76.86 90.00°
Sites, in units of the cell vectors:
Si  0.000  0.000  0.000
Mn  0.407  0.407  0.185
Mn  0.593  0.593  0.815
Cu  0.750  0.250  0.500
Cu  0.250  0.750  0.500

***

[8]
Computed, not measured: crystalline Tb6PrY3Ho2 at its relaxed geometry at the GGA-PBE level of DFT.

**Space-group type**: No. 12
**Crystal system**: monoclinic
**DFT formation energy**: 0.2 eV per formula unit
**Magnetization**: 0.0 μB/cell
**V**: 385.9 Å³/cell
**DOS(E_F)**: 16.0 states/eV per cell

Cell: 6.180 6.180 11.839 Å, 94.97 94.97 119.96°
Sites, in units of the cell vectors:
Tb  0.916  0.581  0.749
Tb  0.750  0.750  0.250
Tb  0.084  0.419  0.251
Tb  0.581  0.916  0.749
Tb  0.250  0.250  0.750
Tb  0.419  0.084  0.251
Pr  0.000  0.000  0.000
Y  0.167  0.833  0.500
Y  0.833  0.167  0.500
Y  0.500  0.500  0.500
Ho  0.333  0.667  0.000
Ho  0.667  0.333  0.000

***

[9]
Computed, not measured: crystalline ErScCdNi at its relaxed geometry at the GGA-PBE level of DFT.

**Space-group type**: No. 216
**Crystal system**: cubic
**DFT formation energy**: -1.1 eV per formula unit
**Magnetization**: 0.0 μB/cell
**Offset from the most stable computed form**: 121 meV/atom
**V**: 82.7 Å³/cell
**DOS(E_F)**: 3.0 states/eV per cell

Cell: 4.891 4.891 4.891 Å, 60.00 60.00 60.00°
Sites, in units of the cell vectors:
Sc  0.500  0.500  0.500
Ni  0.250  0.250  0.250
Cd  0.750  0.750  0.750
Er  0.000  0.000  0.000

***

[10]
Computed, not measured: crystalline La2CdOs at its relaxed geometry at the GGA-PBE level of DFT.

**Space-group type**: No. 123
**Crystal system**: tetragonal
**DFT formation energy**: -0.1 eV per formula unit
**Magnetization**: 0.0 μB/cell
**V**: 103.2 Å³/cell
**DOS(E_F)**: 2.7 states/eV per cell

Cell: 8.305 5.238 3.761 Å, 89.95 63.15 129.10°
Sites, in units of the cell vectors:
Cd  0.500  0.500  0.000
Os  0.000  0.500  0.500
La  0.000  0.000  0.000
La  0.500  0.000  0.500

***

[11]
Computed, not measured: crystalline Pa3ReTc2 at its relaxed geometry at the GGA-PBE level of DFT.

**Space-group type**: No. 59
**Crystal system**: orthorhombic
**DFT formation energy**: -1.0 eV per formula unit
**Magnetization**: 0.0 μB/cell
**V**: 248.7 Å³/cell
**DOS(E_F)**: 11.4 states/eV per cell

Cell: 3.831 3.904 16.624 Å, 90.00 90.00 90.00°
Sites, in units of the cell vectors:
Pa  0.750  0.500  0.675
Pa  0.746  0.000  0.500
Pa  0.750  0.500  0.325
Pa  0.250  0.000  0.175
Pa  0.254  0.500  0.000
Pa  0.250  0.000  0.825
Re  0.245  0.500  0.500
Re  0.755  0.000  0.000
Tc  0.249  0.000  0.646
Tc  0.249  0.000  0.354
Tc  0.751  0.500  0.146
Tc  0.751  0.500  0.854

***

[12]
Computed, not measured: crystalline Er2TmHfP4 at its relaxed geometry at the GGA-PBE level of DFT.

**Space-group type**: No. 10
**Crystal system**: monoclinic
**DFT formation energy**: -12.3 eV per formula unit
**Magnetization**: 0.0 μB/cell
**V**: 165.8 Å³/cell
**DOS(E_F)**: 1.4 states/eV per cell

Cell: 3.879 6.727 6.729 Å, 109.27 90.00 90.00°
Sites, in units of the cell vectors:
Er  0.500  0.000  0.500
Er  0.000  0.500  0.500
Tm  0.500  0.500  0.000
Hf  0.000  0.000  0.000
P  0.500  0.239  0.238
P  0.500  0.761  0.762
P  0.000  0.245  0.757
P  0.000  0.755  0.243